(1)
VASP calculation (PBE-GGA) on a relaxed Nd2Sm3Au4 crystal.

Volume   501.7 Å³/cell
Calculated density   10.111 g/cm³
Uncorrected energy   -4.700 eV per atom

Unit cell a=9.1311 b=9.1311 c=8.1505 alpha=90.00 beta=90.00 gamma=132.42
Fractional coordinates of all 18 atoms:
Nd 0.0931 0.9069 0.9086
Nd 0.4069 0.5931 0.4086
Nd 0.5931 0.4069 0.5914
Nd 0.9069 0.0931 0.0914
Sm 0.0000 0.0000 0.5000
Sm 0.0232 0.4768 0.7500
Sm 0.4768 0.0232 0.2500
Sm 0.5000 0.5000 0.0000
Sm 0.5232 0.9768 0.7500
Sm 0.9768 0.5232 0.2500
Au 0.1810 0.8190 0.5379
Au 0.2022 0.2978 0.7500
Au 0.2978 0.2022 0.2500
Au 0.3190 0.6810 0.0379
Au 0.6810 0.3190 0.9621
Au 0.7022 0.7978 0.7500
Au 0.7978 0.7022 0.2500
Au 0.8190 0.1810 0.4621

***

(2)
VASP calculation (PBE-GGA) on a relaxed NdSm3Au crystal.

Volume   306.3 Å³/cell
Calculated density   8.589 g/cm³
Uncorrected energy   -4.713 eV per atom

Unit cell a=6.6974 b=5.4557 c=8.5313 alpha=90.00 beta=100.67 gamma=90.00
Fractional coordinates of all 10 atoms:
Nd 0.0961 0.2500 0.3309
Nd 0.9039 0.7500 0.6691
Sm 0.1961 0.7500 0.0587
Sm 0.2784 0.2500 0.7764
Sm 0.3576 0.7500 0.5055
Sm 0.6424 0.2500 0.4945
Sm 0.7216 0.7500 0.2236
Sm 0.8039 0.2500 0.9413
Au 0.4513 0.2500 0.1474
Au 0.5487 0.7500 0.8526

***

(3)
VASP calculation (PBE-GGA) on a relaxed NdSm2Au6 crystal.

Volume   213.4 Å³/cell
Calculated density   12.656 g/cm³
Uncorrected energy   -4.484 eV per atom

Unit cell a=8.5650 b=8.5650 c=8.5650 alpha=154.90 beta=126.29 gamma=60.17
Fractional coordinates of all 9 atoms:
Nd 0.0000 0.0000 0.0000
Sm 0.3588 0.8588 0.5000
Sm 0.6412 0.1412 0.5000
Au 0.0096 0.3234 0.6861
Au 0.3164 0.5000 0.8164
Au 0.3627 0.6766 0.6861
Au 0.6373 0.3234 0.3139
Au 0.6836 0.5000 0.1836
Au 0.9904 0.6766 0.3139